1.
Computed, not measured: a relaxed structure of CaAs2Ir at the PBE level of DFT.

abc: 6.1753 6.1753 6.1753
angles: 105.32 105.32 118.14
With the nearest neighbours (Å) after each atom.
Atoms (fractional coordinates):
Ca 0.0000 0.0000 0.0000  2 Ir 3.17, 8 As 3.19-3.29
Ca 0.7500 0.2500 0.5000  2 Ir 3.17, 8 As 3.19-3.29
As 0.2028 0.6250 0.0778  2 Ir 2.41
As 0.3750 0.4528 0.5778  2 Ir 2.41
As 0.5472 0.1250 0.9222  2 Ir 2.41
As 0.8750 0.7972 0.4222  2 Ir 2.41
Ir 0.2500 0.7500 0.5000  4 As 2.41
Ir 0.5000 0.5000 0.0000  4 As 2.41

Calculated values
- Total magnetic moment: 0.00 Bohr magnetons per cell
- DFT formation energy: -0.486 eV/atom

***

2.
Computed, not measured: a relaxed structure of Na2PbBr at the PBE level of DFT.

abc: 3.5629 3.5629 8.6812
angles: 90.00 90.00 90.00
With the nearest neighbours (Å) after each atom.
Atoms (fractional coordinates):
Na 0.0000 0.0000 0.2089  4 Br 3.10
Na 0.0000 0.0000 0.7911  4 Br 3.10
Pb 0.5000 0.5000 0.5000  4 Pb 3.56, 8 Na 3.57
Br 0.5000 0.5000 0.0000  8 Na 3.10

Calculated values
- Total magnetic moment: 0.00 Bohr magnetons per cell
- Energy relative to the elements, uncorrected: -0.71 eV per atom
- Distance to the lowest polymorph of the same formula: 0 meV per atom

***

3.
Computed, not measured: a relaxed structure of UP2AuO8 at the PBE level of DFT.

abc: 5.5552 5.5552 9.0599
angles: 104.79 104.79 60.57
With the nearest neighbours (Å) after each atom.
Atoms (fractional coordinates):
U 0.0000 0.0000 0.0000  6 O 2.15-2.16
P 0.2827 0.2827 0.7955  4 O 1.51-1.56
P 0.7173 0.7173 0.2045  4 O 1.51-1.56
Au 0.0000 0.0000 0.5000  2 O 2.03
O 0.1581 0.6057 0.8484  1 P 1.56
O 0.1676 0.1676 0.8870  1 P 1.56
O 0.2150 0.2150 0.6219  1 P 1.51
O 0.3943 0.8419 0.1516  1 P 1.56
O 0.6057 0.1581 0.8484  1 P 1.56
O 0.7850 0.7850 0.3781  1 P 1.51
O 0.8324 0.8324 0.1130  1 P 1.56
O 0.8419 0.3943 0.1516  1 P 1.56

Calculated values
- Total magnetic moment: 1.00 Bohr magnetons per cell
- Energy relative to the elements, uncorrected: -2.22 eV per atom